--- A ---
Entry from the Open Quantum Materials Database: a relaxed HfCd2Au2 crystal (PBE-GGA).

Summary:
SG   No. 139

Cell: 7.206 7.206 7.206 Å, 148.29 148.29 45.46°
Fractional positions:
Hf  0.000  0.000  0.000
Cd  0.250  0.750  0.500
Cd  0.750  0.250  0.500
Au  0.402  0.402  0.000
Au  0.598  0.598  0.000

---

--- B ---
Entry from the Open Quantum Materials Database: a relaxed HfCd2Au2 crystal (PBE-GGA).

Summary:
SG   No. 139

Cell: 7.006 7.006 7.006 Å, 146.42 146.42 48.22°
Fractional positions:
Hf  0.000  0.000  0.000
Cd  0.397  0.397  0.000
Cd  0.603  0.603  0.000
Au  0.250  0.750  0.500
Au  0.750  0.250  0.500

---

Least stable of them? B.